Material: Pm4Pr2Nd2Er
Method: DFT, PBE
State: relaxed

Properties
- calculated volume (Å³/f.u.) = 311.87
- space-group type = C2/m, No. 12
- total moment (μB per formula unit) = 0.00
- formation energy (meV/atom) = 12

a = 3.686 Å, b = 9.727 Å, c = 9.818 Å
α = 115.06°, β = 90.00°, γ = 100.92°
Element x y z (fractional)
Pm (0.815, 0.630, 0.667)
Pm (0.185, 0.370, 0.333)
Nd (0.147, 0.294, 0.666)
Er (0.000, 0.000, 0.000)
Pm (0.482, 0.963, 0.671)
Pr (0.665, 0.330, 0.000)
Pr (0.335, 0.670, 0.000)
Pm (0.518, 0.037, 0.329)
Nd (0.853, 0.706, 0.334)

***

Material: Pm2PrNdEr2
Method: DFT, PBE
State: relaxed

Properties
- calculated volume (Å³/f.u.) = 206.64
- space-group type = Pnnm, No. 58
- total moment (μB per formula unit) = 0.00
- formation energy (meV/atom) = 263

a = 3.432 Å, b = 6.591 Å, c = 18.273 Å
α = 90.00°, β = 90.00°, γ = 90.00°
Element x y z (fractional)
Er (0.000, 0.284, 0.148)
Pm (0.000, 0.782, 0.189)
Er (0.500, 0.216, 0.648)
Pr (0.500, 0.500, 0.500)
Nd (0.500, 0.500, 0.000)
Nd (0.000, 0.000, 0.500)
Er (0.500, 0.784, 0.352)
Pm (0.500, 0.718, 0.689)
Er (0.000, 0.716, 0.852)
Pm (0.000, 0.218, 0.811)
Pr (0.000, 0.000, 0.000)
Pm (0.500, 0.282, 0.311)

***

Material: Pm5PrNdEr2
Method: DFT, PBE
State: relaxed

Properties
- calculated volume (Å³/f.u.) = 310.55
- space-group type = Cmc2_1, No. 36
- total moment (μB per formula unit) = 0.00
- formation energy (meV/atom) = 150

a = 5.709 Å, b = 10.589 Å, c = 10.670 Å
α = 90.00°, β = 90.00°, γ = 105.64°
Element x y z (fractional)
Pm (0.281, 0.561, 0.311)
Pr (0.415, 0.829, 0.448)
Er (0.112, 0.224, 0.733)
Pm (0.477, 0.953, 0.739)
Er (0.888, 0.776, 0.233)
Nd (0.201, 0.402, 0.011)
Pm (0.609, 0.217, 0.527)
Pm (0.297, 0.594, 0.706)
Nd (0.799, 0.598, 0.511)
Pm (0.719, 0.439, 0.811)
Pm (0.017, 0.033, 0.024)
Pm (0.703, 0.406, 0.206)
Er (0.117, 0.233, 0.324)
Er (0.883, 0.767, 0.824)
Pr (0.585, 0.171, 0.948)
Pm (0.523, 0.047, 0.239)
Pm (0.983, 0.967, 0.524)
Pm (0.391, 0.783, 0.027)

***

Material: Pm2PrNd5Er
Method: DFT, PBE
State: relaxed

Properties
- calculated volume (Å³/f.u.) = 316.23
- space-group type = I4/mcm, No. 140
- total moment (μB per formula unit) = 0.00
- formation energy (meV/atom) = 275

a = 8.964 Å, b = 8.964 Å, c = 10.106 Å
α = 116.33°, β = 116.33°, γ = 90.00°
Element x y z (fractional)
Nd (0.000, 0.000, 0.000)
Nd (0.929, 0.429, 0.276)
Pm (0.384, 0.884, 0.000)
Nd (0.429, 0.347, 0.276)
Pm (0.116, 0.384, 0.000)
Er (0.750, 0.250, 0.500)
Pm (0.616, 0.116, 0.000)
Nd (0.500, 0.500, 0.000)
Nd (0.847, 0.929, 0.276)
Pr (0.250, 0.250, 0.500)
Nd (0.347, 0.847, 0.276)
Er (0.250, 0.750, 0.500)
Nd (0.571, 0.653, 0.724)
Nd (0.653, 0.153, 0.724)
Pm (0.884, 0.616, 0.000)
Nd (0.071, 0.571, 0.724)
Nd (0.153, 0.071, 0.724)
Pr (0.750, 0.750, 0.500)

***

Material: Pm6Pr2NdEr
Method: DFT, PBE
State: relaxed

Properties
- calculated volume (Å³/f.u.) = 347.31
- space-group type = C2/c, No. 15
- total moment (μB per formula unit) = 0.00
- formation energy (meV/atom) = 113

a = 9.902 Å, b = 8.960 Å, c = 8.960 Å
α = 117.91°, β = 94.39°, γ = 94.39°
Element x y z (fractional)
Nd (0.750, 0.018, 0.982)
Pm (0.556, 0.746, 0.121)
Pr (0.457, 0.804, 0.703)
Pr (0.043, 0.297, 0.196)
Pm (0.944, 0.879, 0.254)
Pm (0.056, 0.121, 0.746)
Pm (0.381, 0.506, 0.295)
Pm (0.189, 0.572, 0.016)
Pr (0.957, 0.703, 0.804)
Pm (0.119, 0.705, 0.494)
Pm (0.811, 0.428, 0.984)
Pm (0.619, 0.494, 0.705)
Er (0.250, 0.408, 0.592)
Nd (0.250, 0.982, 0.018)
Pm (0.689, 0.016, 0.572)
Pm (0.311, 0.984, 0.428)
Pr (0.543, 0.196, 0.297)
Pm (0.444, 0.254, 0.879)
Pm (0.881, 0.295, 0.506)
Er (0.750, 0.592, 0.408)

***

Material: Pm2PrNd4Er
Method: DFT, PBE
State: relaxed

Properties
- calculated volume (Å³/f.u.) = 276.32
- space-group type = P2/m, No. 10
- total moment (μB per formula unit) = 0.00
- formation energy (meV/atom) = 13

a = 5.177 Å, b = 5.163 Å, c = 11.559 Å
α = 63.42°, β = 90.00°, γ = 90.00°
Element x y z (fractional)
Nd (0.500, 0.747, 0.253)
Nd (0.000, 0.754, 0.746)
Er (0.000, 0.500, 0.500)
Pm (0.500, 0.000, 0.500)
Pm (0.000, 0.000, 0.000)
Nd (0.000, 0.246, 0.254)
Nd (0.500, 0.253, 0.747)
Pr (0.500, 0.500, 0.000)

***

Material: Pm3Pr2NdEr6
Method: DFT, PBE
State: relaxed

Properties
- calculated volume (Å³/f.u.) = 390.70
- space-group type = C2/m, No. 12
- total moment (μB per formula unit) = 0.00
- formation energy (meV/atom) = 14

a = 6.239 Å, b = 6.239 Å, c = 11.773 Å
α = 95.05°, β = 95.05°, γ = 119.99°
Element x y z (fractional)
Er (0.249, 0.249, 0.749)
Pm (0.833, 0.167, 0.500)
Pr (0.667, 0.333, 0.000)
Pm (0.500, 0.500, 0.500)
Er (0.417, 0.084, 0.251)
Pm (0.167, 0.833, 0.500)
Pr (0.333, 0.667, 0.000)
Er (0.916, 0.583, 0.749)
Er (0.751, 0.751, 0.251)
Nd (0.000, 0.000, 0.000)
Er (0.583, 0.916, 0.749)
Er (0.084, 0.417, 0.251)

***

Material: PmPr4Nd2Er2
Method: DFT, PBE
State: relaxed

Properties
- calculated volume (Å³/f.u.) = 310.56
- space-group type = C2/m, No. 12
- total moment (μB per formula unit) = 0.00
- formation energy (meV/atom) = 20

a = 5.178 Å, b = 8.186 Å, c = 8.147 Å
α = 107.57°, β = 90.00°, γ = 108.44°
Element x y z (fractional)
Er (0.332, 0.664, 0.000)
Nd (0.888, 0.776, 0.330)
Pm (0.000, 0.000, 0.000)
Pr (0.778, 0.556, 0.671)
Er (0.668, 0.336, 0.000)
Pr (0.222, 0.444, 0.329)
Nd (0.112, 0.224, 0.670)
Pr (0.445, 0.891, 0.670)
Pr (0.555, 0.109, 0.330)

***

Material: Pm6Pr2NdEr3
Method: DFT, PBE
State: relaxed

Properties
- calculated volume (Å³/f.u.) = 405.10
- space-group type = C2/m, No. 12
- total moment (μB per formula unit) = 0.00
- formation energy (meV/atom) = 18

a = 6.294 Å, b = 6.294 Å, c = 11.995 Å
α = 95.02°, β = 95.02°, γ = 120.01°
Element x y z (fractional)
Pr (0.667, 0.333, 0.000)
Er (0.167, 0.833, 0.500)
Er (0.500, 0.500, 0.500)
Pm (0.915, 0.582, 0.744)
Pm (0.085, 0.418, 0.256)
Pm (0.418, 0.085, 0.256)
Pm (0.752, 0.752, 0.256)
Pm (0.582, 0.915, 0.744)
Pm (0.248, 0.248, 0.744)
Pr (0.333, 0.667, 0.000)
Er (0.833, 0.167, 0.500)
Nd (0.000, 0.000, 0.000)

***

Material: Pm3PrNd6Er2
Method: DFT, PBE
State: relaxed

Properties
- calculated volume (Å³/f.u.) = 411.69
- space-group type = C2/m, No. 12
- total moment (μB per formula unit) = 0.00
- formation energy (meV/atom) = 15

a = 6.324 Å, b = 6.324 Å, c = 12.070 Å
α = 95.01°, β = 95.01°, γ = 119.99°
Element x y z (fractional)
Pm (0.167, 0.833, 0.500)
Nd (0.917, 0.582, 0.752)
Er (0.667, 0.333, 0.000)
Pm (0.833, 0.167, 0.500)
Nd (0.083, 0.418, 0.248)
Pm (0.500, 0.500, 0.500)
Nd (0.748, 0.748, 0.248)
Nd (0.418, 0.083, 0.248)
Nd (0.582, 0.917, 0.752)
Er (0.333, 0.667, 0.000)
Pr (0.000, 0.000, 0.000)
Nd (0.252, 0.252, 0.752)

***

Material: Pm2Pr4Nd2Er
Method: DFT, PBE
State: relaxed

Properties
- calculated volume (Å³/f.u.) = 315.68
- space-group type = C2/m, No. 12
- total moment (μB per formula unit) = 0.00
- formation energy (meV/atom) = 16

a = 3.697 Å, b = 9.757 Å, c = 9.869 Å
α = 114.95°, β = 90.00°, γ = 100.92°
Element x y z (fractional)
Er (0.000, 0.000, 0.000)
Pm (0.852, 0.703, 0.331)
Pr (0.518, 0.035, 0.329)
Pr (0.185, 0.370, 0.331)
Pr (0.815, 0.630, 0.669)
Nd (0.665, 0.330, 0.999)
Pm (0.148, 0.297, 0.669)
Pr (0.482, 0.965, 0.671)
Nd (0.335, 0.670, 0.001)

***

Material: PmPrNdEr2
Method: DFT, PBE
State: relaxed

Properties
- calculated volume (Å³/f.u.) = 175.23
- space-group type = Cmcm, No. 63
- total moment (μB per formula unit) = 0.00
- formation energy (meV/atom) = 319

a = 6.480 Å, b = 6.490 Å, c = 8.943 Å
α = 111.27°, β = 90.00°, γ = 90.00°
Element x y z (fractional)
Er (0.500, 0.246, 0.000)
Pr (0.250, 0.223, 0.447)
Pm (0.250, 0.655, 0.310)
Er (0.000, 0.754, 0.000)
Er (0.000, 0.246, 0.000)
Pr (0.750, 0.777, 0.553)
Pm (0.750, 0.345, 0.690)
Nd (0.250, 0.844, 0.687)
Er (0.500, 0.754, 0.000)
Nd (0.750, 0.156, 0.313)